Record 1
CsAcAs | PBE | relaxed

Cell: 8.7248 8.7248 8.7248 Å, 152.03 152.03 39.97°
Closest atoms and distances in Å follow each position.
Positions (direct):
Cs 0.0000 0.0000 0.0000  1 Ac 3.80, 4 As 4.12, 4 Cs 4.22
Ac 0.2318 0.2318 0.0000  4 As 3.13
As 0.6730 0.6730 0.0000  4 Ac 3.13

Summary:
**Symmetry**: I4mm, No. 107
**DOS(E_F)**: 1.6 states/eV per cell
**Energy of formation**: -608 meV per atom
**Calculated total energy**: -0.1401 Ha/atom
**Calculated density**: 4.95 g/cm³
**E above lowest polymorph**: 0.000 eV per atom

***

Record 2
CsAcAs | PBE | relaxed

Cell: 4.7218 4.7218 8.5724 Å, 90.00 90.00 120.00°
Closest atoms and distances in Å follow each position.
Positions (direct):
Cs 0.0000 0.0000 0.0000  3 As 3.75
Ac 0.3333 0.6667 0.4516  3 As 3.02
As 0.6667 0.3333 0.2997  3 Ac 3.02

Summary:
**Symmetry**: P3m1, No. 156
**DOS(E_F)**: 1.4 states/eV per cell
**Energy of formation**: -601 meV per atom
**Calculated total energy**: -0.1398 Ha/atom
**Calculated density**: 4.36 g/cm³
**E above lowest polymorph**: 0.007 eV per atom